Record 1
PBE-GGA Cs2Au3Br8, relaxed; D(E_F) = 0.309 states/eV/atom
1.0
8.3842 0.0000 0.6618
0.0000 8.2515 0.0000
-2.6923 -4.1257 7.0999
Br Au Cs
8 3 2
Cartesian
-0.5557 4.1257 2.0669
4.8656 0.0000 2.7653
0.8263 4.1257 4.9963
2.3119 6.2822 0.9367
6.2476 0.0000 5.6948
3.3801 2.1565 6.8249
2.3119 1.9693 0.9367
3.3801 -2.1565 6.8249
0.0000 5.8983 0.0000
4.1921 0.0000 0.3309
0.0000 2.3532 0.0000
4.3002 4.1257 3.4728
1.3918 0.0000 4.2888

=====

Record 2
PBE-GGA CsAuBr3, relaxed; D(E_F) = 0.215 states/eV/atom
1.0
5.4738 0.0000 0.0000
0.0000 5.4738 0.0000
0.0000 0.0000 5.4738
Cs Au Br
1 1 3
Cartesian
2.7369 2.7369 2.7369
0.0000 0.0000 0.0000
2.7369 0.0000 0.0000
0.0000 0.0000 2.7369
0.0000 2.7369 0.0000

=====

Record 3
PBE-GGA Cs5Au3Br, relaxed; D(E_F) = 0.404 states/eV/atom
1.0
8.5155 0.0000 -4.0183
-1.8962 8.3017 -4.0183
0.3095 0.3881 11.6880
Br Cs Au
2 10 6
Cartesian
6.0674 2.2695 1.8256
0.8615 6.4204 1.8256
3.3097 4.1509 -4.0183
1.3950 7.0895 -1.4948
3.1651 2.9386 0.1264
0.0000 0.0000 0.0000
-0.3110 4.9499 5.9219
3.7637 5.7513 3.5249
7.2399 3.7400 -2.2706
5.5338 1.6004 5.1461
1.4591 0.7990 7.5432
5.4697 7.8909 -3.8919
5.1193 6.4204 -0.1835
4.9692 0.8923 -2.8730
6.4484 5.0432 -6.0275
1.6501 7.4094 -5.1637
1.8096 2.2695 3.8348
0.1710 3.2586 -2.0092

=====

Record 4
The following is a PBE-GGA calculation of CsAuBr3 after structural relaxation, from Alexandria.

Cell and atoms, written as POSCAR:
```
CsAuBr3
1.0
-2.9793 -5.6250 3.4561
8.0547 -3.6751 1.4152
2.1894 5.8315 3.8736
Br Au Cs
6 2 2
Cartesian
2.9311 1.3671 3.4497
3.6178 -2.3447 5.1898
-1.1814 -2.2194 4.3192
-0.1902 0.6344 6.1312
7.1795 0.6717 5.8056
1.7336 -1.6105 1.3879
-0.1190 -1.8118 6.5184
3.9094 -3.6491 7.2256
1.4410 -4.8800 3.2750
7.1659 -2.6226 3.8487
```

=====

Record 5
PBE-GGA CsAu3Br, relaxed; D(E_F) = 1.020 states/eV/atom
1.0
6.0114 0.0000 0.0000
0.0000 6.0114 0.0000
0.0000 0.0000 6.0114
Au Br Cs
3 1 1
Cartesian
0.0000 0.0000 3.0057
3.0057 0.0000 0.0000
0.0000 3.0057 0.0000
3.0057 3.0057 3.0057
0.0000 0.0000 0.0000

=====

Record 6
PBE-GGA Cs4Au2Br, relaxed; D(E_F) = 0.428 states/eV/atom
1.0
-2.8408 2.0018 -6.0929
3.5652 -5.0464 -3.3203
-6.9222 -3.9432 5.9696
Cs Au Br
4 2 1
Cartesian
-3.4624 -4.7088 -3.9702
-2.7355 -2.2791 0.5267
-1.4204 1.0009 -3.0464
1.7826 -2.5232 -1.6601
-5.4614 -4.5502 1.0515
-0.7365 -2.4376 -4.4950
0.0000 0.0000 0.0000

=====

Record 7
PBE-GGA Cs4AuBr7, relaxed; D(E_F) = 0.327 states/eV/atom
1.0
5.4219 0.0000 1.4736
1.9209 8.9904 3.6437
-0.1728 0.1217 11.3469
Br Cs Au
7 4 1
Cartesian
2.7110 0.0000 0.7368
2.2847 4.5439 2.3052
3.2633 6.8406 9.4159
3.9068 2.2715 7.0483
4.8854 4.5682 14.1590
6.7406 8.0779 7.3331
0.4295 1.0342 9.1312
1.7406 1.2906 4.3069
4.1679 5.6947 6.0876
5.4294 7.8215 12.1573
3.0022 3.4174 10.3766
0.0000 0.0000 0.0000

=====

Record 8
PBE-GGA Cs5Au2Br, relaxed; D(E_F) = 0.541 states/eV/atom
1.0
-1.1018 -0.9809 -7.1417
4.1547 -7.0652 4.0526
-15.5854 -7.2174 3.3957
Cs Au Br
10 4 2
Cartesian
-6.9782 -11.7793 -1.0288
-13.8243 -9.6910 -0.2595
-5.5542 -3.4842 1.3354
-4.2630 -8.1448 1.7763
-1.5258 -1.6187 0.4577
-11.0066 -13.6447 -0.1512
-2.6561 -6.0499 -2.4825
-8.2694 -7.1186 -1.4698
1.2919 -5.5724 0.5660
-9.8763 -9.2136 2.7891
-7.5362 -6.4276 2.0454
-13.5465 -9.2109 3.3549
1.0141 -6.0525 -3.0484
-4.9963 -8.8358 -1.7389
-10.1994 -10.1815 -0.7513
-2.3330 -5.0819 1.0579

=====

Record 9
PBE-GGA Cs12Au5Br, relaxed; D(E_F) = 0.797 states/eV/atom
1.0
-5.8314 -5.1421 4.5175
-0.5973 -8.8946 -1.9464
12.4352 -3.4493 12.0427
Cs Au Br
12 5 1
Cartesian
-1.1086 -11.0224 0.9716
6.6643 -2.9651 8.1328
4.5261 -7.6453 8.9928
4.9704 -11.1500 14.5006
7.1150 -6.4636 13.6423
3.6239 -5.1633 4.7631
1.0361 -6.3360 0.1133
-0.0604 -5.6264 8.4274
8.6561 -10.6791 10.8454
-2.6496 -6.8069 3.7685
1.4804 -9.8407 5.6209
2.3826 -12.3228 9.8508
-2.1431 -4.6785 0.8573
4.8475 -8.5117 5.4766
-4.2858 -9.3582 1.7139
3.3019 -4.2957 8.2801
1.1589 -8.9744 9.1372
0.0000 0.0000 0.0000

=====

Record 10
PBE-GGA Cs4AuBr2, relaxed; D(E_F) = 0.658 states/eV/atom
1.0
-0.8932 -3.6731 4.7704
-1.2766 -5.8846 -0.8872
12.6341 -6.1201 1.5361
Cs Br Au
4 2 1
Cartesian
9.7616 -12.1787 4.0991
0.7027 -3.4992 1.3202
7.8007 -5.0584 1.4486
2.6636 -10.6195 3.9707
6.2322 -11.4034 4.0353
4.2321 -4.2745 1.3841
0.0000 0.0000 0.0000

=====

| no. | VASP energy (eV for the cell shown) | calculated volume (A^3/atom) |
| --- | --- | --- |
| 1 | -32.431 | 38.9 |
| 2 | -13.309 | 32.8 |
| 3 | -41.611 | 47.4 |
| 4 | -26.814 | 41.5 |
| 5 | -6.609 | 43.4 |
| 6 | -15.974 | 60.7 |
| 7 | -33.250 | 46.1 |
| 8 | -34.350 | 66.9 |
| 9 | -35.197 | 70.0 |
| 10 | -17.408 | 62.7 |